Record 1
# Sm2ScTe | Alexandria | GGA-PBE | relaxed
# **Space-group type**: P4/mmm, No. 123
# **Total energy**: -5.29 eV/atom
# **DOS at the Fermi energy**: 4.701 states/eV/f.u.
# **Offset from the most stable computed form**: 0.0 meV/atom
# **E_form (uncorrected)**: -566 meV/atom
data_Sm2ScTe
_chemical_formula_sum 'Sm2 Sc1 Te1'
_symmetry_space_group_name_H-M 'P 1'
_symmetry_Int_Tables_number 1
_symmetry_space_group_name_Hall 'P 1'
_cell_length_a 4.0062
_cell_length_b 4.0062
_cell_length_c 7.1677
_cell_angle_alpha 90.00
_cell_angle_beta 90.00
_cell_angle_gamma 90.00
loop_
_atom_site_label
_atom_site_fract_x
_atom_site_fract_y
_atom_site_fract_z
_atom_site_occupancy
Sm1 0.0000 0.0000 0.2572 1
Sm2 0.0000 0.0000 0.7428 1
Te1 0.5000 0.5000 0.5000 1
Sc1 0.5000 0.5000 0.0000 1

Record 2
# KSr2Mo | Alexandria | GGA-PBE | relaxed
# **Space-group type**: R-3m, No. 166
# **Total energy**: -2.93 eV/atom
# **DOS at the Fermi energy**: 3.032 states/eV/f.u.
# **Offset from the most stable computed form**: 137.9 meV/atom
# **ΔE_f**: 3.6 eV per formula unit
data_KSr2Mo
_chemical_formula_sum 'K1 Sr2 Mo1'
_symmetry_space_group_name_H-M 'P 1'
_symmetry_Int_Tables_number 1
_symmetry_space_group_name_Hall 'P 1'
_cell_length_a 12.7929
_cell_length_b 12.7929
_cell_length_c 12.7929
_cell_angle_alpha 17.28
_cell_angle_beta 17.28
_cell_angle_gamma 17.28
loop_
_atom_site_label
_atom_site_fract_x
_atom_site_fract_y
_atom_site_fract_z
_atom_site_occupancy
Mo1 0.7500 0.7500 0.7500 1
Sr1 0.4776 0.4776 0.4776 1
Sr2 0.0224 0.0224 0.0224 1
K1 0.2500 0.2500 0.2500 1